HoRh3 after structural relaxation. Source: the Alexandria database, functional PBE.

Unit cell a=4.071 b=4.071 c=4.926 alpha=114.41 beta=114.41 gamma=90.00
Sites, in units of the cell vectors:
Ho (0.000, 0.000, 0.000)
Rh (0.250, 0.750, 0.500)
Rh (0.750, 0.250, 0.500)
Rh (0.500, 0.500, 0.000)

The value obtained for the formation energy is -42.7 kJ per mole of atoms. The uncorrected energy comes out at -7.10 eV/atom.